# LaPm3Th4S8 | Alexandria via LeMat-Bulk | PBE | relaxed
data_LaPm3Th4S8
_chemical_formula_sum 'La1 Pm3 Th4 S8'
_symmetry_space_group_name_H-M 'P 1'
_symmetry_Int_Tables_number 1
_cell_length_a 8.1652
_cell_length_b 8.1652
_cell_length_c 8.1652
_cell_angle_alpha 58.96
_cell_angle_beta 58.96
_cell_angle_gamma 58.96
loop_
_symmetry_equiv_pos_as_xyz
'x,y,z'
loop_
_atom_site_label
_atom_site_fract_x
_atom_site_fract_y
_atom_site_fract_z
_atom_site_occupancy
La1 0.0000 0.0000 0.0000 1
Pm1 0.0000 0.5000 0.5000 1
Pm2 0.5000 0.0000 0.5000 1
Pm3 0.5000 0.5000 0.0000 1
Th1 0.0000 0.0000 0.5000 1
Th2 0.0000 0.5000 0.0000 1
Th3 0.5000 0.0000 0.0000 1
Th4 0.5000 0.5000 0.5000 1
S1 0.2511 0.2511 0.2511 1
S2 0.2517 0.2517 0.7458 1
S3 0.2517 0.7458 0.2517 1
S4 0.2542 0.7483 0.7483 1
S5 0.7458 0.2517 0.2517 1
S6 0.7483 0.2542 0.7483 1
S7 0.7483 0.7483 0.2542 1
S8 0.7489 0.7489 0.7489 1
# Total moment in μB/atom: 0.000
# E_form (uncorrected) in eV per atom: -1.9491